w:
PBE ScTiZn2, relaxed; size of the total moment = 0.1182 μB/atom
1.0
3.249 0.000 0.000
0.000 3.249 0.000
0.000 0.000 6.486
Sc Zn Ti
1 2 1
direct
0.500 0.500 0.500
0.000 0.000 0.769
0.000 0.000 0.231
0.500 0.500 0.000


x:
PBE ScTiZn2, relaxed; size of the total moment = 0.2452 μB/atom
1.0
3.073 -0.817 3.319
-0.879 1.307 4.318
-0.882 -3.157 3.222
Sc Zn Ti
1 2 1
direct
0.000 0.000 0.000
0.250 0.250 0.250
0.750 0.750 0.750
0.500 0.500 0.500


If we sort the structures by their calculated energies, the order from most to least stable is w, x.


w:
PBE ScTi3Zn, relaxed; size of the total moment = 0.6256 μB/atom
1.0
4.752 0.000 0.000
0.000 4.752 0.000
0.000 0.000 4.752
Sc Zn Ti
1 1 3
direct
0.500 0.500 0.500
0.000 0.000 0.000
0.000 0.500 0.000
0.000 0.000 0.500
0.500 0.000 0.000


x:
PBE ScTi3Zn, relaxed; size of the total moment = 0.0165 μB/atom
1.0
4.664 0.000 0.000
0.000 4.664 0.000
0.000 0.000 4.664
Sc Zn Ti
1 1 3
direct
0.000 0.000 0.000
0.500 0.500 0.500
0.000 0.500 0.000
0.000 0.000 0.500
0.500 0.000 0.000


If we sort the structures by their calculated energies, the order from most to least stable is w, x.


w:
PBE ZrSc2Ti, relaxed; size of the total moment = 0.0828 μB/atom
1.0
-0.840 2.754 -2.216
0.441 -2.178 -2.874
-6.397 -1.702 0.309
Sc Zr Ti
2 1 1
direct
0.000 0.000 0.770
0.000 0.000 0.230
0.500 0.500 0.500
0.500 0.500 0.000


x:
PBE ZrSc2Ti, relaxed; size of the total moment = 0.0005 μB/atom
1.0
4.506 0.000 0.000
0.000 4.405 0.000
0.000 0.000 4.405
Sc Zr Ti
2 1 1
direct
0.000 0.000 0.500
0.000 0.500 0.000
0.500 0.000 0.000
0.500 0.500 0.500


If we sort the structures by their calculated energies, the order from most to least stable is x, w.